Mn2Hg5Pd12 | PBE-GGA | optimized geometry

Cell: 5.556 9.729 9.864 Å, 132.00 90.00 106.59°
Last column: magnetic moment on the atom in μB.
Atoms (fractional coordinates):
Mn1 0.750 0.000 0.000  3.96
Mn2 0.250 0.000 0.000  3.96
Hg1 0.306 0.613 0.631  0.00
Hg2 0.328 0.655 0.164  0.01
Hg3 0.000 0.000 0.500  0.01
Hg4 0.672 0.345 0.836  0.01
Hg5 0.694 0.387 0.369  0.00
Pd1 0.002 0.005 0.224  0.19
Pd2 0.080 0.665 0.918  0.10
Pd3 0.585 0.665 0.918  0.10
Pd4 0.101 0.701 0.445  0.05
Pd5 0.599 0.701 0.445  0.05
Pd6 0.500 0.001 0.771  0.17
Pd7 0.500 0.999 0.229  0.17
Pd8 0.899 0.299 0.555  0.05
Pd9 0.401 0.299 0.555  0.05
Pd10 0.920 0.335 0.082  0.10
Pd11 0.415 0.335 0.082  0.10
Pd12 0.998 0.995 0.776  0.19

Computed properties:
Formation enthalpy at 0 K: 2.2 kJ/mol of atoms
Total magnetization: 9.65 μB/cell